VASP calculation (PBE) on Li3B4C4 after structural relaxation.

## Properties
For the electronic total energy, the calculation gives -6.529 eV per atom. Its symmetry is No. 2. The value obtained for the magnetic moment is 0.000 μB/atom.

a = 2.721 Å, b = 4.728 Å, c = 7.654 Å
α = 107.35°, β = 99.58°, γ = 90.02°
Fractional positions:
1 Li 0.000 0.000 0.000
2 Li 0.250 0.251 0.500
3 Li 0.750 0.749 0.500
4 B 0.128 0.465 0.248
5 B 0.369 0.036 0.744
6 B 0.631 0.964 0.256
7 B 0.872 0.535 0.752
8 C 0.133 0.800 0.260
9 C 0.370 0.705 0.748
10 C 0.630 0.295 0.252
11 C 0.867 0.200 0.740